# TiSiHgB2 | the Alexandria database | GGA-PBEsol | relaxed
data_TiSiHgB2
_symmetry_space_group_name_H-M 'P 1'
_symmetry_Int_Tables_number 1
_cell_length_a 3.979
_cell_length_b 3.979
_cell_length_c 4.798
_cell_angle_alpha 90.00
_cell_angle_beta 90.00
_cell_angle_gamma 90.00
loop_
_symmetry_equiv_pos_as_xyz
'x,y,z'
loop_
_atom_site_label
_atom_site_type_symbol
_atom_site_fract_x
_atom_site_fract_y
_atom_site_fract_z
_atom_site_occupancy
Hg1 Hg 0.500 0.500 0.500 1
Ti1 Ti 0.000 0.000 0.500 1
B1 B 0.000 0.500 0.000 1
B2 B 0.500 0.000 0.000 1
Si1 Si 0.000 0.000 0.000 1
# E_form (uncorrected) ... 1.0270 eV/atom
# VASP energy ... -4.7068 eV/atom
# Size of the total moment ... 0.000 μB/atom

# NiAgC2 | the Alexandria database | GGA-PBEsol | relaxed
data_NiAgC2
_symmetry_space_group_name_H-M 'P 1'
_symmetry_Int_Tables_number 1
_cell_length_a 3.797
_cell_length_b 3.797
_cell_length_c 3.797
_cell_angle_alpha 60.00
_cell_angle_beta 60.00
_cell_angle_gamma 60.00
loop_
_symmetry_equiv_pos_as_xyz
'x,y,z'
loop_
_atom_site_label
_atom_site_type_symbol
_atom_site_fract_x
_atom_site_fract_y
_atom_site_fract_z
_atom_site_occupancy
Ag1 Ag 0.500 0.500 0.500 1
C1 C 0.750 0.750 0.750 1
C2 C 0.250 0.250 0.250 1
Ni1 Ni 0.000 0.000 0.000 1
# VASP energy ... -5.1966 eV/atom
# Size of the total moment ... 0.000 μB/atom

# Sr3Hg | the Alexandria database | GGA-PBEsol | relaxed
data_Sr3Hg
_symmetry_space_group_name_H-M 'P 1'
_symmetry_Int_Tables_number 1
_cell_length_a 4.299
_cell_length_b 4.299
_cell_length_c 11.446
_cell_angle_alpha 79.18
_cell_angle_beta 79.18
_cell_angle_gamma 60.00
loop_
_symmetry_equiv_pos_as_xyz
'x,y,z'
loop_
_atom_site_label
_atom_site_type_symbol
_atom_site_fract_x
_atom_site_fract_y
_atom_site_fract_z
_atom_site_occupancy
Sr1 Sr 0.729 0.729 0.813 1
Sr2 Sr 0.271 0.271 0.187 1
Sr3 Sr 0.500 0.500 0.500 1
Hg1 Hg 0.000 0.000 0.000 1
# Energy above the most stable polymorph in this dataset ... 90 meV/atom
# VASP energy ... -1.7323 eV/atom
# Size of the total moment ... 0.000 μB/atom

# Na2Ti9O19 | the Alexandria database | GGA-PBEsol | relaxed
data_Na2Ti9O19
_symmetry_space_group_name_H-M 'P 1'
_symmetry_Int_Tables_number 1
_cell_length_a 3.754
_cell_length_b 6.486
_cell_length_c 15.515
_cell_angle_alpha 79.60
_cell_angle_beta 83.05
_cell_angle_gamma 73.18
loop_
_symmetry_equiv_pos_as_xyz
'x,y,z'
loop_
_atom_site_label
_atom_site_type_symbol
_atom_site_fract_x
_atom_site_fract_y
_atom_site_fract_z
_atom_site_occupancy
Ti1 Ti 0.994 0.513 0.499 1
Ti2 Ti 0.091 0.119 0.699 1
Ti3 Ti 0.205 0.709 0.881 1
Ti4 Ti 0.912 0.877 0.299 1
Ti5 Ti 0.104 0.659 0.134 1
Ti6 Ti 0.798 0.284 0.119 1
Ti7 Ti 0.213 0.275 0.298 1
Ti8 Ti 0.790 0.718 0.703 1
Ti9 Ti 0.900 0.333 0.866 1
O1 O 0.636 0.601 0.126 1
O2 O 0.507 0.487 0.499 1
O3 O 0.375 0.958 0.292 1
O4 O 0.905 0.778 0.412 1
O5 O 0.096 0.221 0.587 1
O6 O 0.250 0.768 0.731 1
O7 O 0.854 0.701 0.591 1
O8 O 0.630 0.035 0.705 1
O9 O 0.071 0.599 0.260 1
O10 O 0.051 0.038 0.859 1
O11 O 0.267 0.319 0.147 1
O12 O 0.166 0.672 0.997 1
O13 O 0.737 0.674 0.852 1
O14 O 0.149 0.293 0.409 1
O15 O 0.368 0.391 0.874 1
O16 O 0.838 0.320 0.003 1
O17 O 0.952 0.954 0.142 1
O18 O 0.933 0.394 0.740 1
O19 O 0.753 0.224 0.270 1
Na1 Na 0.002 0.996 0.000 1
Na2 Na 0.704 0.088 0.504 1
# Energy above the most stable polymorph in this dataset ... 57 meV/atom
# E_form (uncorrected) ... -2.8697 eV/atom
# VASP energy ... -8.7843 eV/atom
# Size of the total moment ... 0.000 μB/atom

# CeYIn2 | the Alexandria database | GGA-PBEsol | relaxed
data_CeYIn2
_symmetry_space_group_name_H-M 'P 1'
_symmetry_Int_Tables_number 1
_cell_length_a 5.296
_cell_length_b 5.296
_cell_length_c 5.296
_cell_angle_alpha 60.00
_cell_angle_beta 60.00
_cell_angle_gamma 60.00
loop_
_symmetry_equiv_pos_as_xyz
'x,y,z'
loop_
_atom_site_label
_atom_site_type_symbol
_atom_site_fract_x
_atom_site_fract_y
_atom_site_fract_z
_atom_site_occupancy
Y1 Y 0.500 0.500 0.500 1
Ce1 Ce 0.000 0.000 0.000 1
In1 In 0.750 0.750 0.750 1
In2 In 0.250 0.250 0.250 1
# VASP energy ... -5.2679 eV/atom
# Size of the total moment ... 0.202 μB/atom

# CsK3Pb | the Alexandria database | GGA-PBEsol | relaxed
data_CsK3Pb
_symmetry_space_group_name_H-M 'P 1'
_symmetry_Int_Tables_number 1
_cell_length_a 6.900
_cell_length_b 6.900
_cell_length_c 6.900
_cell_angle_alpha 90.00
_cell_angle_beta 90.00
_cell_angle_gamma 90.00
loop_
_symmetry_equiv_pos_as_xyz
'x,y,z'
loop_
_atom_site_label
_atom_site_type_symbol
_atom_site_fract_x
_atom_site_fract_y
_atom_site_fract_z
_atom_site_occupancy
K1 K 0.500 0.000 0.000 1
K2 K 0.000 0.000 0.500 1
K3 K 0.000 0.500 0.000 1
Pb1 Pb 0.000 0.000 0.000 1
Cs1 Cs 0.500 0.500 0.500 1
# VASP energy ... -1.6666 eV/atom
# Size of the total moment ... 0.000 μB/atom

# NaPb2Au2 | the Alexandria database | GGA-PBEsol | relaxed
data_NaPb2Au2
_symmetry_space_group_name_H-M 'P 1'
_symmetry_Int_Tables_number 1
_cell_length_a 3.830
_cell_length_b 7.852
_cell_length_c 7.852
_cell_angle_alpha 90.00
_cell_angle_beta 90.00
_cell_angle_gamma 90.00
loop_
_symmetry_equiv_pos_as_xyz
'x,y,z'
loop_
_atom_site_label
_atom_site_type_symbol
_atom_site_fract_x
_atom_site_fract_y
_atom_site_fract_z
_atom_site_occupancy
Au1 Au 0.000 0.867 0.633 1
Au2 Au 0.000 0.133 0.367 1
Au3 Au 0.000 0.633 0.133 1
Au4 Au 0.000 0.367 0.867 1
Pb1 Pb 0.500 0.667 0.833 1
Pb2 Pb 0.500 0.333 0.167 1
Pb3 Pb 0.500 0.833 0.333 1
Pb4 Pb 0.500 0.167 0.667 1
Na1 Na 0.000 0.500 0.500 1
Na2 Na 0.000 0.000 0.000 1
# VASP energy ... -3.5777 eV/atom
# Size of the total moment ... 0.000 μB/atom

# SmSeClO3 | the Alexandria database | GGA-PBEsol | relaxed
data_SmSeClO3
_symmetry_space_group_name_H-M 'P 1'
_symmetry_Int_Tables_number 1
_cell_length_a 7.088
_cell_length_b 7.211
_cell_length_c 8.952
_cell_angle_alpha 90.00
_cell_angle_beta 90.00
_cell_angle_gamma 90.00
loop_
_symmetry_equiv_pos_as_xyz
'x,y,z'
loop_
_atom_site_label
_atom_site_type_symbol
_atom_site_fract_x
_atom_site_fract_y
_atom_site_fract_z
_atom_site_occupancy
Cl1 Cl 0.750 0.048 0.823 1
Cl2 Cl 0.750 0.548 0.677 1
Cl3 Cl 0.250 0.952 0.177 1
Cl4 Cl 0.250 0.452 0.323 1
O1 O 0.750 0.248 0.184 1
O2 O 0.250 0.252 0.684 1
O3 O 0.926 0.146 0.434 1
O4 O 0.750 0.748 0.316 1
O5 O 0.574 0.146 0.434 1
O6 O 0.926 0.646 0.066 1
O7 O 0.074 0.854 0.566 1
O8 O 0.426 0.354 0.934 1
O9 O 0.250 0.752 0.816 1
O10 O 0.074 0.354 0.934 1
O11 O 0.574 0.646 0.066 1
O12 O 0.426 0.854 0.566 1
Se1 Se 0.250 0.206 0.869 1
Se2 Se 0.750 0.794 0.131 1
Se3 Se 0.250 0.706 0.631 1
Se4 Se 0.750 0.294 0.369 1
Sm1 Sm 0.250 0.608 0.040 1
Sm2 Sm 0.750 0.392 0.960 1
Sm3 Sm 0.750 0.892 0.540 1
Sm4 Sm 0.250 0.108 0.460 1
# E_form (uncorrected) ... -2.0089 eV/atom
# VASP energy ... -6.4586 eV/atom
# Size of the total moment ... 0.000 μB/atom

# Gd4B4O11F2 | the Alexandria database | GGA-PBEsol | relaxed
data_Gd4B4O11F2
_symmetry_space_group_name_H-M 'P 1'
_symmetry_Int_Tables_number 1
_cell_length_a 4.624
_cell_length_b 7.137
_cell_length_c 13.686
_cell_angle_alpha 91.18
_cell_angle_beta 90.00
_cell_angle_gamma 108.90
loop_
_symmetry_equiv_pos_as_xyz
'x,y,z'
loop_
_atom_site_label
_atom_site_type_symbol
_atom_site_fract_x
_atom_site_fract_y
_atom_site_fract_z
_atom_site_occupancy
O1 O 0.258 0.841 0.965 1
O2 O 0.817 0.198 0.224 1
O3 O 0.221 0.175 0.106 1
O4 O 0.827 0.772 0.067 1
O5 O 0.380 0.198 0.724 1
O6 O 0.417 0.159 0.535 1
O7 O 0.583 0.841 0.465 1
O8 O 0.954 0.175 0.606 1
O9 O 0.779 0.825 0.894 1
O10 O 0.845 0.000 0.750 1
O11 O 0.639 0.650 0.743 1
O12 O 0.055 0.228 0.433 1
O13 O 0.173 0.228 0.933 1
O14 O 0.011 0.650 0.243 1
O15 O 0.183 0.802 0.776 1
O16 O 0.989 0.350 0.757 1
O17 O 0.945 0.772 0.567 1
O18 O 0.361 0.350 0.257 1
O19 O 0.155 0.000 0.250 1
O20 O 0.620 0.802 0.276 1
O21 O 0.046 0.825 0.394 1
O22 O 0.742 0.159 0.035 1
B1 B 0.142 0.191 0.524 1
B2 B 0.117 0.186 0.213 1
B3 B 0.883 0.814 0.787 1
B4 B 0.049 0.191 0.024 1
B5 B 0.858 0.809 0.476 1
B6 B 0.069 0.186 0.713 1
B7 B 0.951 0.809 0.976 1
B8 B 0.931 0.814 0.287 1
Gd1 Gd 0.421 0.881 0.130 1
Gd2 Gd 0.703 0.440 0.130 1
Gd3 Gd 0.579 0.119 0.870 1
Gd4 Gd 0.539 0.119 0.370 1
Gd5 Gd 0.737 0.440 0.630 1
Gd6 Gd 0.461 0.881 0.630 1
Gd7 Gd 0.263 0.560 0.370 1
Gd8 Gd 0.297 0.560 0.870 1
F1 F 0.707 0.462 0.424 1
F2 F 0.293 0.538 0.576 1
F3 F 0.755 0.462 0.924 1
F4 F 0.245 0.538 0.076 1
# E_form (uncorrected) ... -3.1754 eV/atom
# VASP energy ... -10.1972 eV/atom
# Size of the total moment ... 1.331 μB/atom